Run a
SiH2 | PBE-GGA | optimized geometry Values from VASP.

volume: 9.17 Å³/atom

Quantum ESPRESSO input file:
```
&SYSTEM
  ibrav = 0, nat = 3, ntyp = 2
/
ATOMIC_SPECIES
Si 28.09 Si.upf
H 1.01 H.upf
ATOMIC_POSITIONS crystal
Si 0.000 0.000 0.000
H 0.010 0.999 0.663
H 0.990 0.001 0.337
CELL_PARAMETERS angstrom
2.599 0.000 0.000
1.297 2.305 0.000
0.105 -0.008 4.596
```

---

Run b
SiH2 | PBE-GGA | optimized geometry Values from VASP.

volume: 11.68 Å³/atom

Quantum ESPRESSO input file:
```
&SYSTEM
  ibrav = 0, nat = 6, ntyp = 2
/
ATOMIC_SPECIES
Si 28.09 Si.upf
H 1.01 H.upf
ATOMIC_POSITIONS crystal
Si 0.000 0.000 0.000
Si 0.213 0.415 0.191
H 0.255 0.184 0.365
H 0.373 0.757 0.562
H 0.444 0.596 0.624
H 0.957 0.232 0.827
CELL_PARAMETERS angstrom
2.489 0.000 0.000
1.242 3.841 0.000
1.045 0.337 7.332
```

---

Run c
SiH2 | PBE-GGA | optimized geometry Values from VASP.

volume: 11.43 Å³/atom

Quantum ESPRESSO input file:
```
&SYSTEM
  ibrav = 0, nat = 3, ntyp = 2
/
ATOMIC_SPECIES
Si 28.09 Si.upf
H 1.01 H.upf
ATOMIC_POSITIONS crystal
Si 0.000 0.000 0.000
H 0.001 0.002 0.565
H 0.981 0.987 0.435
CELL_PARAMETERS angstrom
2.422 0.000 0.000
-0.243 2.410 0.000
-0.233 -0.223 5.874
```

---

Run d
SiH2 | PBE-GGA | optimized geometry Values from VASP.

volume: 12.44 Å³/atom

Quantum ESPRESSO input file:
```
&SYSTEM
  ibrav = 0, nat = 6, ntyp = 2
/
ATOMIC_SPECIES
Si 28.09 Si.upf
H 1.01 H.upf
ATOMIC_POSITIONS crystal
Si 0.226 0.226 0.451
Si 0.774 0.774 0.549
H 0.115 0.115 0.223
H 0.430 0.432 0.015
H 0.570 0.568 0.985
H 0.885 0.885 0.777
CELL_PARAMETERS angstrom
3.201 0.000 0.000
-0.008 3.542 0.000
-1.558 -1.722 6.581
```

---

Which one sits at the top of the stability order? run d does.

---

Run a
SiH2 | PBE-GGA | optimized geometry Values from VASP.

volume: 13.40 Å³/atom

Quantum ESPRESSO input file:
```
&SYSTEM
  ibrav = 0, nat = 6, ntyp = 2
/
ATOMIC_SPECIES
Si 28.09 Si.upf
H 1.01 H.upf
ATOMIC_POSITIONS crystal
Si 0.131 0.250 0.130
Si 0.869 0.750 0.870
H 0.165 0.250 0.454
H 0.457 0.250 0.165
H 0.543 0.750 0.835
H 0.835 0.750 0.546
CELL_PARAMETERS angstrom
4.820 0.000 0.000
0.000 3.916 0.000
-2.316 0.000 4.259
```

---

Run b
SiH2 | PBE-GGA | optimized geometry Values from VASP.

volume: 11.98 Å³/atom

Quantum ESPRESSO input file:
```
&SYSTEM
  ibrav = 0, nat = 3, ntyp = 2
/
ATOMIC_SPECIES
Si 28.09 Si.upf
H 1.01 H.upf
ATOMIC_POSITIONS crystal
Si 0.000 0.000 0.000
H 0.000 0.000 0.561
H 0.010 0.001 0.439
CELL_PARAMETERS angstrom
2.368 0.000 0.000
0.001 2.461 0.000
0.143 0.030 6.170
```

---

Run c
SiH2 | PBE-GGA | optimized geometry Values from VASP.

volume: 10.63 Å³/atom

Quantum ESPRESSO input file:
```
&SYSTEM
  ibrav = 0, nat = 3, ntyp = 2
/
ATOMIC_SPECIES
Si 28.09 Si.upf
H 1.01 H.upf
ATOMIC_POSITIONS crystal
Si 0.000 0.000 0.000
H 0.195 0.195 0.194
H 0.956 0.956 0.457
CELL_PARAMETERS angstrom
4.206 -1.239 0.000
4.206 1.239 0.000
-1.309 0.000 3.060
```

---

Run d
SiH2 | PBE-GGA | optimized geometry Values from VASP.

volume: 11.84 Å³/atom

Quantum ESPRESSO input file:
```
&SYSTEM
  ibrav = 0, nat = 6, ntyp = 2
/
ATOMIC_SPECIES
Si 28.09 Si.upf
H 1.01 H.upf
ATOMIC_POSITIONS crystal
Si 0.001 0.218 0.065
Si 0.999 0.782 0.935
H 0.005 0.092 0.317
H 0.427 0.572 0.501
H 0.573 0.428 0.499
H 0.995 0.908 0.683
CELL_PARAMETERS angstrom
2.620 0.000 0.000
0.130 4.548 0.000
0.029 2.271 5.965
```

---

Which one sits at the top of the stability order? run a does.

---

Run a
SiH2 | PBE-GGA | optimized geometry Values from VASP.

volume: 13.31 Å³/atom

Quantum ESPRESSO input file:
```
&SYSTEM
  ibrav = 0, nat = 6, ntyp = 2
/
ATOMIC_SPECIES
Si 28.09 Si.upf
H 1.01 H.upf
ATOMIC_POSITIONS crystal
Si 0.235 0.235 0.369
Si 0.765 0.765 0.631
H 0.074 0.074 0.234
H 0.357 0.357 0.146
H 0.643 0.643 0.854
H 0.926 0.926 0.766
CELL_PARAMETERS angstrom
4.195 -1.954 0.000
4.195 1.954 0.000
-0.040 0.000 4.873
```

---

Run b
SiH2 | PBE-GGA | optimized geometry Values from VASP.

volume: 9.46 Å³/atom

Quantum ESPRESSO input file:
```
&SYSTEM
  ibrav = 0, nat = 3, ntyp = 2
/
ATOMIC_SPECIES
Si 28.09 Si.upf
H 1.01 H.upf
ATOMIC_POSITIONS crystal
Si 0.000 0.000 0.000
H 0.000 0.000 0.500
H 0.000 0.500 0.000
CELL_PARAMETERS angstrom
2.439 0.000 0.000
0.007 3.404 0.000
0.001 0.020 3.418
```

---

Run c
SiH2 | PBE-GGA | optimized geometry Values from VASP.

volume: 13.47 Å³/atom

Quantum ESPRESSO input file:
```
&SYSTEM
  ibrav = 0, nat = 30, ntyp = 2
/
ATOMIC_SPECIES
Si 28.09 Si.upf
H 1.01 H.upf
ATOMIC_POSITIONS crystal
Si 0.053 0.159 0.490
Si 0.053 0.341 0.490
Si 0.316 0.104 0.796
Si 0.316 0.396 0.796
Si 0.431 0.750 0.072
Si 0.569 0.250 0.928
Si 0.684 0.604 0.204
Si 0.684 0.896 0.204
Si 0.947 0.659 0.510
Si 0.947 0.841 0.510
H 0.113 0.067 0.935
H 0.113 0.433 0.935
H 0.148 0.750 0.154
H 0.180 0.119 0.312
H 0.180 0.381 0.312
H 0.249 0.620 0.525
H 0.249 0.880 0.525
H 0.366 0.750 0.847
H 0.484 0.517 0.235
H 0.484 0.983 0.235
H 0.516 0.017 0.765
H 0.516 0.483 0.765
H 0.634 0.250 0.153
H 0.751 0.120 0.475
H 0.751 0.380 0.475
H 0.820 0.619 0.688
H 0.820 0.881 0.688
H 0.852 0.250 0.846
H 0.887 0.567 0.065
H 0.887 0.933 0.065
CELL_PARAMETERS angstrom
4.705 0.000 0.000
0.000 12.949 0.000
-0.874 0.000 6.631
```

---

Which one sits at the top of the stability order? run a does.

---

Run a
Sm3SiH | PBE-GGA | optimized geometry Values from VASP.

volume: 23.46 Å³/atom

Quantum ESPRESSO input file:
```
&SYSTEM
  ibrav = 0, nat = 10, ntyp = 3
/
ATOMIC_SPECIES
Sm 150.36 Sm.upf
Si 28.09 Si.upf
H 1.01 H.upf
ATOMIC_POSITIONS crystal
Sm 0.085 0.250 0.334
Sm 0.271 0.250 0.960
Sm 0.373 0.750 0.622
Sm 0.627 0.250 0.378
Sm 0.729 0.750 0.040
Sm 0.915 0.750 0.666
Si 0.372 0.750 0.229
Si 0.628 0.250 0.771
H 0.149 0.250 0.643
H 0.851 0.750 0.357
CELL_PARAMETERS angstrom
7.316 0.000 0.000
0.000 3.973 0.000
-0.547 0.000 8.071
```

---

Run b
Sm3SiH | PBE-GGA | optimized geometry Values from VASP.

volume: 21.65 Å³/atom

Quantum ESPRESSO input file:
```
&SYSTEM
  ibrav = 0, nat = 5, ntyp = 3
/
ATOMIC_SPECIES
Sm 150.36 Sm.upf
Si 28.09 Si.upf
H 1.01 H.upf
ATOMIC_POSITIONS crystal
Sm 0.000 0.000 0.500
Sm 0.000 0.500 0.000
Sm 0.500 0.000 0.000
Si 0.500 0.500 0.500
H 0.000 0.000 0.000
CELL_PARAMETERS angstrom
4.766 0.000 0.000
0.000 4.766 0.000
0.000 0.000 4.766
```

---

Which one sits at the top of the stability order? run a does.

---

Run a
Sm4Si2H | PBE-GGA | optimized geometry Values from VASP.

volume: 23.44 Å³/atom

Quantum ESPRESSO input file:
```
&SYSTEM
  ibrav = 0, nat = 7, ntyp = 3
/
ATOMIC_SPECIES
Sm 150.36 Sm.upf
Si 28.09 Si.upf
H 1.01 H.upf
ATOMIC_POSITIONS crystal
Sm 0.000 0.500 0.500
Sm 0.182 0.182 0.000
Sm 0.500 0.000 0.500
Sm 0.818 0.818 0.000
Si 0.366 0.366 0.000
Si 0.634 0.634 0.000
H 0.000 0.000 0.000
CELL_PARAMETERS angstrom
-2.248 2.248 8.120
2.248 -2.248 8.120
2.248 2.248 -8.120
```

---

Run b
Sm4Si2H | PBE-GGA | optimized geometry Values from VASP.

volume: 23.99 Å³/atom

Quantum ESPRESSO input file:
```
&SYSTEM
  ibrav = 0, nat = 14, ntyp = 3
/
ATOMIC_SPECIES
Sm 150.36 Sm.upf
Si 28.09 Si.upf
H 1.01 H.upf
ATOMIC_POSITIONS crystal
Sm 0.012 0.000 0.265
Sm 0.012 0.500 0.265
Sm 0.408 0.250 0.090
Sm 0.432 0.250 0.621
Sm 0.568 0.750 0.379
Sm 0.592 0.750 0.910
Sm 0.988 0.000 0.735
Sm 0.988 0.500 0.735
Si 0.213 0.750 0.047
Si 0.263 0.750 0.572
Si 0.737 0.250 0.428
Si 0.787 0.250 0.953
H 0.251 0.250 0.811
H 0.749 0.750 0.189
CELL_PARAMETERS angstrom
6.381 0.000 0.000
0.000 6.482 0.000
-2.863 0.000 8.121
```

---

Which one sits at the top of the stability order? run b does.